(A)
The following is a DFT calculation (PBE) of a relaxed Sr2AcMg crystal.

abc: 13.641 13.641 13.641
angles: 16.52 16.52 16.52
Sites, in units of the cell vectors:
Sr: 0.096 0.096 0.096
Sr: 0.904 0.904 0.904
Ac: 0.000 0.000 0.000
Mg: 0.500 0.500 0.500

## Properties
Its calculated density is 3959 kg/m3. The density of states at the Fermi level is 1.582 states/eV/atom. Its volume is 178.90 Å³ per cell.


(B)
The following is a DFT calculation (PBE) of a relaxed Sr2AcMg crystal.

abc: 5.372 5.372 5.937
angles: 90.00 90.00 90.00
Sites, in units of the cell vectors:
Sr: 0.000 0.500 0.000
Sr: 0.500 0.000 0.000
Ac: 0.000 0.000 0.500
Mg: 0.500 0.500 0.500

## Properties
Its calculated density is 4133 kg/m3. The density of states at the Fermi level is 1.392 states/eV/atom. Its volume is 171.37 Å³ per cell.


Which one sits at the top of the stability order? (B) does.


(A)
The following is a DFT calculation (PBE) of a relaxed Sr2AcMg crystal.

abc: 6.223 6.223 6.223
angles: 60.00 60.00 60.00
Sites, in units of the cell vectors:
Sr: 0.250 0.250 0.250
Sr: 0.750 0.750 0.750
Ac: 0.000 0.000 0.000
Mg: 0.500 0.500 0.500

## Properties
Its calculated density is 4157 kg/m3. The density of states at the Fermi level is 1.467 states/eV/atom. Its volume is 170.40 Å³ per cell.


(B)
The following is a DFT calculation (PBE) of a relaxed Sr2AcMg crystal.

abc: 3.997 3.997 10.708
angles: 90.00 90.00 90.00
Sites, in units of the cell vectors:
Sr: 0.000 0.000 0.213
Sr: 0.000 0.000 0.787
Ac: 0.500 0.500 0.500
Mg: 0.500 0.500 0.000

## Properties
Its calculated density is 4141 kg/m3. The density of states at the Fermi level is 1.327 states/eV/atom. Its volume is 171.05 Å³ per cell.


(C)
The following is a DFT calculation (PBE) of a relaxed Sr2AcMg crystal.

abc: 12.531 12.531 12.531
angles: 18.68 18.68 18.68
Sites, in units of the cell vectors:
Sr: 0.000 0.000 0.000
Sr: 0.183 0.183 0.183
Ac: 0.425 0.425 0.425
Mg: 0.591 0.591 0.591

## Properties
Its calculated density is 4018 kg/m3. The density of states at the Fermi level is 1.325 states/eV/atom. Its volume is 176.29 Å³ per cell.


Which one sits at the top of the stability order? (B) does.


(A)
The following is a DFT calculation (PBE) of a relaxed SrAcMgZn crystal.

abc: 4.004 4.004 8.186
angles: 90.00 90.00 90.00
Sites, in units of the cell vectors:
Sr: 0.000 0.000 0.000
Ac: 0.000 0.000 0.463
Mg: 0.500 0.500 0.728
Zn: 0.500 0.500 0.242

## Properties
Its calculated density is 5116 kg/m3. The density of states at the Fermi level is 0.982 states/eV/atom. Its volume is 131.25 Å³ per cell.


(B)
The following is a DFT calculation (PBE) of a relaxed SrAcMgZn crystal.

abc: 5.698 5.698 5.698
angles: 60.00 60.00 60.00
Sites, in units of the cell vectors:
Sr: 0.000 0.000 0.000
Ac: 0.500 0.500 0.500
Mg: 0.750 0.750 0.750
Zn: 0.250 0.250 0.250

## Properties
Its calculated density is 5133 kg/m3. The density of states at the Fermi level is 0.432 states/eV/atom. Its volume is 130.79 Å³ per cell.


Which one sits at the top of the stability order? (A) does.